Pu2NbGaN5 after structural relaxation. Source: Alexandria via LeMat-Bulk, functional GGA-PBE.

Unit cell a=3.2301 b=6.9862 c=10.0793 alpha=89.80 beta=90.00 gamma=103.37
With the nearest neighbours (Å) after each atom.
Atoms (fractional coordinates):
Pu (0.1308, 0.2614, 0.2845)  6 N 2.37-2.50
N (0.4978, 0.9954, 0.7828)  1 Ga 1.99
Ga (0.5110, 0.0219, 0.9792)  4 N 1.90-2.03
Nb (0.2169, 0.4341, 0.0018)  5 N 1.97-2.19
Nb (0.7838, 0.5677, 0.5000)  5 N 1.99-2.20
Ga (0.4889, 0.9778, 0.4800)  4 N 1.90-2.04
N (0.7118, 0.4236, 0.1486)  2 Nb 2.19, 3 Pu 2.37-2.39
N (0.2868, 0.5736, 0.6488)  2 Nb 2.20, 3 Pu 2.33-2.39
N (0.6965, 0.3929, 0.8599)  2 Nb 2.18
N (0.5030, 0.0059, 0.2846)  1 Ga 1.98
N (0.3624, 0.7246, 0.0028)  1 Nb 1.97, 1 Ga 2.03
N (0.3044, 0.6088, 0.3599)  2 Nb 2.16
Pu (0.1205, 0.2409, 0.7046)  7 N 2.33-2.58
Pu (0.8809, 0.7623, 0.2035)  7 N 2.37-2.60
N (0.0553, 0.1105, 0.0590)  2 Ga 1.90
Pu (0.8694, 0.7393, 0.7835)  6 N 2.37-2.48
N (0.9423, 0.8845, 0.5577)  2 Ga 1.90
N (0.6373, 0.2747, 0.5066)  1 Nb 1.99, 1 Ga 2.04

Properties
crystal system	monoclinic
symmetry	Cm, No. 8

=====

RbNb2GaN after structural relaxation. Source: Alexandria via LeMat-Bulk, functional GGA-PBE.

Unit cell a=4.2634 b=6.1399 c=4.2634 alpha=90.00 beta=90.00 gamma=90.00
With the nearest neighbours (Å) after each atom.
Atoms (fractional coordinates):
Ga (0.0000, 0.5000, 0.0000)  4 Rb 3.01, 2 N 3.07
Nb (0.5000, 0.0000, 0.0000)  2 N 2.13
Rb (0.5000, 0.5000, 0.5000)  4 Ga 3.01
Nb (0.0000, 0.0000, 0.5000)  2 N 2.13
N (0.0000, 0.0000, 0.0000)  4 Nb 2.13

Properties
crystal system	tetragonal
symmetry	P4/mmm, No. 123

=====

Nb2GaRuN after structural relaxation. Source: Alexandria via LeMat-Bulk, functional GGA-PBE.

Unit cell a=4.2229 b=4.0928 c=4.2229 alpha=90.00 beta=90.00 gamma=90.00
With the nearest neighbours (Å) after each atom.
Atoms (fractional coordinates):
Ru (0.0000, 0.5000, 0.0000)  2 N 2.05
Nb (0.5000, 0.0000, 0.0000)  2 N 2.11
Nb (0.0000, 0.0000, 0.5000)  2 N 2.11
N (0.0000, 0.0000, 0.0000)  2 Ru 2.05, 4 Nb 2.11
Ga (0.5000, 0.5000, 0.5000)  8 Nb 2.94, 4 Ru 2.99

Properties
crystal system	tetragonal
symmetry	P4/mmm, No. 123

=====

NbGaS2N after structural relaxation. Source: Alexandria via LeMat-Bulk, functional GGA-PBE.

Unit cell a=4.9709 b=4.9709 c=3.9440 alpha=90.00 beta=90.00 gamma=90.00
With the nearest neighbours (Å) after each atom.
Atoms (fractional coordinates):
S (0.0000, 0.5000, 0.0000)  2 Nb 2.49
Nb (0.0000, 0.0000, 0.0000)  2 N 1.97
S (0.5000, 0.0000, 0.0000)  2 Nb 2.49
Ga (0.5000, 0.5000, 0.5000)  8 S 3.17, 4 N 3.51
N (0.0000, 0.0000, 0.5000)  2 Nb 1.97

Properties
crystal system	tetragonal
symmetry	P4/mmm, No. 123

=====

NbGaS2N after structural relaxation. Source: Alexandria via LeMat-Bulk, functional GGA-PBE.

Unit cell a=4.7385 b=4.7385 c=3.5839 alpha=90.00 beta=90.00 gamma=90.00
With the nearest neighbours (Å) after each atom.
Atoms (fractional coordinates):
S (0.5000, 0.0000, 0.0000)  2 Ga 2.37
N (0.0000, 0.0000, 0.5000)  2 Ga 1.79
Ga (0.0000, 0.0000, 0.0000)  2 N 1.79
Nb (0.5000, 0.5000, 0.5000)  8 S 2.97
S (0.0000, 0.5000, 0.0000)  2 Ga 2.37

Properties
crystal system	tetragonal
symmetry	P4/mmm, No. 123

=====

TaNb2GaN after structural relaxation. Source: Alexandria via LeMat-Bulk, functional GGA-PBE.

Unit cell a=4.3702 b=4.3702 c=4.0589 alpha=90.00 beta=90.00 gamma=90.00
With the nearest neighbours (Å) after each atom.
Atoms (fractional coordinates):
Ta (0.0000, 0.0000, 0.5000)  2 N 2.03
Nb (0.5000, 0.0000, 0.0000)  2 N 2.19
Nb (0.0000, 0.5000, 0.0000)  2 N 2.19
N (0.0000, 0.0000, 0.0000)  2 Ta 2.03, 4 Nb 2.19
Ga (0.5000, 0.5000, 0.5000)  8 Nb 2.98, 4 Ta 3.09

Properties
crystal system	tetragonal
symmetry	P4/mmm, No. 123

=====

TaNb2GaN after structural relaxation. Source: Alexandria via LeMat-Bulk, functional GGA-PBE.

Unit cell a=4.9805 b=3.5611 c=4.9805 alpha=90.00 beta=90.00 gamma=90.00
With the nearest neighbours (Å) after each atom.
Atoms (fractional coordinates):
Ga (0.0000, 0.0000, 0.0000)  2 N 1.78
Nb (0.0000, 0.0000, 0.5000)  2 Ga 2.49
N (0.0000, 0.5000, 0.0000)  2 Ga 1.78
Ta (0.5000, 0.5000, 0.5000)  8 Nb 3.06
Nb (0.5000, 0.0000, 0.0000)  2 Ga 2.49

Properties
crystal system	tetragonal
symmetry	P4/mmm, No. 123

=====

NbGaTe2N after structural relaxation. Source: Alexandria via LeMat-Bulk, functional GGA-PBE.

Unit cell a=5.6440 b=5.6440 c=3.9191 alpha=90.00 beta=90.00 gamma=90.00
With the nearest neighbours (Å) after each atom.
Atoms (fractional coordinates):
Nb (0.0000, 0.0000, 0.0000)  2 N 1.96
Te (0.0000, 0.5000, 0.0000)  2 Nb 2.82
N (0.0000, 0.0000, 0.5000)  2 Nb 1.96
Te (0.5000, 0.0000, 0.0000)  2 Nb 2.82
Ga (0.5000, 0.5000, 0.5000)  8 Te 3.44

Properties
crystal system	tetragonal
symmetry	P4/mmm, No. 123

=====

NbGaTe2N after structural relaxation. Source: Alexandria via LeMat-Bulk, functional GGA-PBE.

Unit cell a=5.5448 b=5.5448 c=3.5333 alpha=90.00 beta=90.00 gamma=90.00
With the nearest neighbours (Å) after each atom.
Atoms (fractional coordinates):
Nb (0.5000, 0.5000, 0.5000)  8 Te 3.29, 2 Nb 3.53
Te (0.5000, 0.0000, 0.0000)  2 Ga 2.77
N (0.0000, 0.0000, 0.5000)  2 Ga 1.77
Te (0.0000, 0.5000, 0.0000)  2 Ga 2.77
Ga (0.0000, 0.0000, 0.0000)  2 N 1.77

Properties
crystal system	tetragonal
symmetry	P4/mmm, No. 123

=====

Th2NbGaN5 after structural relaxation. Source: Alexandria via LeMat-Bulk, functional GGA-PBE.

Unit cell a=3.3567 b=7.1813 c=10.2460 alpha=90.00 beta=90.00 gamma=103.52
With the nearest neighbours (Å) after each atom.
Atoms (fractional coordinates):
N (0.4986, 0.9972, 0.7856)  1 Ga 1.97
Th (0.1204, 0.2407, 0.7041)  7 N 2.41-2.63
Ga (0.4847, 0.9694, 0.4766)  3 N 1.92-1.97
Th (0.1325, 0.2651, 0.2865)  6 N 2.47-2.65
Th (0.8796, 0.7593, 0.2041)  7 N 2.41-2.63
N (0.9439, 0.8879, 0.5497)  2 Ga 1.92
N (0.2878, 0.5757, 0.6475)  2 Nb 2.24, 3 Th 2.41-2.47
Nb (0.7846, 0.5691, 0.5030)  5 N 2.03-2.24
Ga (0.5153, 0.0306, 0.9766)  3 N 1.92-1.97
N (0.0561, 0.1121, 0.0497)  2 Ga 1.92
N (0.3016, 0.6032, 0.3629)  2 Nb 2.22
N (0.6984, 0.3968, 0.8629)  2 Nb 2.22
Nb (0.2154, 0.4309, 0.0030)  5 N 2.03-2.24
Th (0.8675, 0.7349, 0.7865)  6 N 2.47-2.65
N (0.5014, 0.0028, 0.2856)  1 Ga 1.97
N (0.6394, 0.2787, 0.5081)  1 Nb 2.03, 1 Ga 2.18
N (0.7122, 0.4243, 0.1475)  2 Nb 2.24, 3 Th 2.41-2.47
N (0.3607, 0.7213, 0.0081)  1 Nb 2.03, 1 Ga 2.18

Properties
crystal system	orthorhombic
symmetry	Cmc2_1, No. 36

=====

Y2NbGaN after structural relaxation. Source: Alexandria via LeMat-Bulk, functional GGA-PBE.

Unit cell a=4.8279 b=4.8279 c=4.1861 alpha=90.00 beta=90.00 gamma=90.00
With the nearest neighbours (Å) after each atom.
Atoms (fractional coordinates):
N (0.0000, 0.0000, 0.0000)  2 Nb 2.09
Y (0.0000, 0.5000, 0.0000)  2 N 2.41
Nb (0.0000, 0.0000, 0.5000)  2 N 2.09
Ga (0.5000, 0.5000, 0.5000)  8 Y 3.20, 4 Nb 3.41
Y (0.5000, 0.0000, 0.0000)  2 N 2.41

Properties
crystal system	tetragonal
symmetry	P4/mmm, No. 123

=====

Zr2NbGaN after structural relaxation. Source: Alexandria via LeMat-Bulk, functional GGA-PBE.

Unit cell a=4.5643 b=4.5643 c=4.1121 alpha=90.00 beta=90.00 gamma=90.00
With the nearest neighbours (Å) after each atom.
Atoms (fractional coordinates):
Ga (0.5000, 0.5000, 0.5000)  8 Zr 3.07, 4 Nb 3.23
Zr (0.0000, 0.5000, 0.0000)  2 N 2.28
N (0.0000, 0.0000, 0.0000)  2 Nb 2.06, 4 Zr 2.28
Nb (0.0000, 0.0000, 0.5000)  2 N 2.06
Zr (0.5000, 0.0000, 0.0000)  2 N 2.28

Properties
crystal system	tetragonal
symmetry	P4/mmm, No. 123

=====

| no. | size of the total moment (μB/f.u.) | energy (eV per cell) |
| --- | --- | --- |
| 1 | 4.162 | -182.037 |
| 2 | 0.000 | -29.299 |
| 3 | 0.000 | -42.630 |
| 4 | 0.001 | -30.268 |
| 5 | 0.000 | -26.404 |
| 6 | 0.000 | -45.558 |
| 7 | 0.000 | -37.135 |
| 8 | 0.000 | -27.403 |
| 9 | 1.571 | -23.619 |
| 10 | 0.000 | -159.561 |
| 11 | 0.000 | -38.265 |
| 12 | 0.000 | -42.268 |